Entry 1:
Compound: SrGa6Cu8
Source: Alexandria via LeMat-Bulk
Functional: GGA-PBE
Structure: relaxed

Properties
Total DFT energy (no corrections): -3.55 eV/atom
DFT formation energy: -0.045 eV/atom
Magnetic moment: 0.000 μB per atom
N(E_F): 7.15 states/eV/f.u.

a b c (Å): 6.4179 6.4179 6.4179
angles (deg): 74.21 74.21 74.21
Positions (direct):
Sr (0.0000, 0.0000, 0.0000)
Ga (0.1735, 0.3474, 0.5805)
Ga (0.3474, 0.5805, 0.1735)
Ga (0.4195, 0.8265, 0.6526)
Ga (0.5805, 0.1735, 0.3474)
Ga (0.6526, 0.4195, 0.8265)
Ga (0.8265, 0.6526, 0.4195)
Cu (0.1321, 0.8090, 0.4755)
Cu (0.1910, 0.5245, 0.8679)
Cu (0.2192, 0.2192, 0.2192)
Cu (0.4755, 0.1321, 0.8090)
Cu (0.5245, 0.8679, 0.1910)
Cu (0.7808, 0.7808, 0.7808)
Cu (0.8090, 0.4755, 0.1321)
Cu (0.8679, 0.1910, 0.5245)

---

Entry 2:
Compound: Sr2Ga5Cu3
Source: Alexandria via LeMat-Bulk
Functional: GGA-PBE
Structure: relaxed

Properties
Total DFT energy (no corrections): -3.42 eV/atom
Energy above the lowest structure with this stoichiometry: 0 meV/atom
DFT formation energy: -0.346 eV/atom
Magnetic moment: 0.000 μB per atom
N(E_F): 3.69 states/eV/f.u.

a b c (Å): 8.6185 8.6185 8.6185
angles (deg): 104.91 89.92 138.09
Positions (direct):
Sr (0.1281, 0.2492, 0.3773)
Sr (0.3719, 0.7492, 0.1211)
Sr (0.6281, 0.2508, 0.8789)
Sr (0.8719, 0.7508, 0.6227)
Ga (0.0013, 0.2500, 0.7513)
Ga (0.1165, 0.6348, 0.7513)
Ga (0.2500, 0.2500, 0.0000)
Ga (0.3835, 0.1348, 0.5182)
Ga (0.4987, 0.2500, 0.2487)
Ga (0.5013, 0.7500, 0.7513)
Ga (0.6165, 0.8652, 0.4818)
Ga (0.7500, 0.7500, 0.0000)
Ga (0.8835, 0.3652, 0.2487)
Ga (0.9987, 0.7500, 0.2487)
Cu (0.1242, 0.8742, 0.9984)
Cu (0.2500, 0.7500, 0.5000)
Cu (0.3758, 0.3742, 0.7500)
Cu (0.6242, 0.6258, 0.2500)
Cu (0.7500, 0.2500, 0.5000)
Cu (0.8758, 0.1258, 0.0016)

---

Entry 3:
Compound: SrGa4Cu9
Source: Alexandria via LeMat-Bulk
Functional: GGA-PBE
Structure: relaxed

Properties
Total DFT energy (no corrections): -3.81 eV/atom
DFT formation energy: -0.193 eV/atom
Magnetic moment: 0.000 μB per atom
N(E_F): 7.54 states/eV/f.u.

a b c (Å): 8.4215 8.4215 8.4215
angles (deg): 120.63 120.63 88.91
Positions (direct):
Sr (0.2500, 0.2500, 0.0000)
Sr (0.7500, 0.7500, 0.0000)
Ga (0.0601, 0.5601, 0.8612)
Ga (0.1989, 0.0601, 0.5000)
Ga (0.3011, 0.8011, 0.8612)
Ga (0.4399, 0.3011, 0.5000)
Ga (0.5601, 0.6989, 0.5000)
Ga (0.6989, 0.1989, 0.1388)
Ga (0.8011, 0.9399, 0.5000)
Ga (0.9399, 0.4399, 0.1388)
Cu (0.0000, 0.5000, 0.5000)
Cu (0.0624, 0.2037, 0.2661)
Cu (0.0633, 0.7946, 0.5000)
Cu (0.2037, 0.9376, 0.1414)
Cu (0.2054, 0.7054, 0.2687)
Cu (0.2946, 0.5633, 0.5000)
Cu (0.2963, 0.4376, 0.7339)
Cu (0.4367, 0.9367, 0.7313)
Cu (0.4376, 0.7037, 0.1414)
Cu (0.5000, 0.0000, 0.5000)
Cu (0.5624, 0.2963, 0.8586)
Cu (0.5633, 0.0633, 0.2687)
Cu (0.7037, 0.5624, 0.2661)
Cu (0.7054, 0.4367, 0.5000)
Cu (0.7946, 0.2946, 0.7313)
Cu (0.7963, 0.0624, 0.8586)
Cu (0.9367, 0.2054, 0.5000)
Cu (0.9376, 0.7963, 0.7339)

---

Entry 4:
Compound: Sr8GaCu2
Source: Alexandria via LeMat-Bulk
Functional: GGA-PBE
Structure: relaxed

Properties
Total DFT energy (no corrections): -2.26 eV/atom
DFT formation energy: -0.017 eV/atom
Magnetic moment: 0.000 μB per atom
N(E_F): 10.11 states/eV/f.u.

a b c (Å): 8.6311 8.6311 6.8372
angles (deg): 99.61 99.61 112.07
Positions (direct):
Sr (0.0000, 0.0000, 0.0000)
Sr (0.0177, 0.2853, 0.5752)
Sr (0.1409, 0.5690, 0.1806)
Sr (0.2853, 0.0177, 0.5752)
Sr (0.4344, 0.6974, 0.7752)
Sr (0.5690, 0.1409, 0.1806)
Sr (0.6974, 0.4344, 0.7752)
Sr (0.7199, 0.7199, 0.3806)
Ga (0.3608, 0.3608, 0.3795)
Cu (0.0518, 0.6752, 0.6959)
Cu (0.6752, 0.0518, 0.6959)

---

Entry 5:
Compound: Sr3Ga8Cu3
Source: Alexandria via LeMat-Bulk
Functional: GGA-PBE
Structure: relaxed

Properties
Total DFT energy (no corrections): -3.27 eV/atom
Energy above the lowest structure with this stoichiometry: 28 meV/atom
DFT formation energy: -0.301 eV/atom
Magnetic moment: 0.000 μB per atom
N(E_F): 5.89 states/eV/f.u.

a b c (Å): 8.4219 8.4219 9.7514
angles (deg): 125.03 125.03 30.61
Positions (direct):
Sr (0.0000, 0.0000, 0.0000)
Sr (0.2981, 0.2981, 0.2972)
Sr (0.7019, 0.7019, 0.7028)
Ga (0.1376, 0.1376, 0.4221)
Ga (0.1464, 0.1464, 0.8718)
Ga (0.3422, 0.3422, 0.7142)
Ga (0.4950, 0.4950, 0.3040)
Ga (0.5050, 0.5050, 0.6960)
Ga (0.6578, 0.6578, 0.2858)
Ga (0.8536, 0.8536, 0.1281)
Ga (0.8624, 0.8624, 0.5779)
Cu (0.0000, 0.0000, 0.5000)
Cu (0.3441, 0.3441, 0.9880)
Cu (0.6559, 0.6559, 0.0120)

---

Entry 6:
Compound: Sr2Ga4Cu3
Source: Alexandria via LeMat-Bulk
Functional: GGA-PBE
Structure: relaxed

Properties
Total DFT energy (no corrections): -3.30 eV/atom
DFT formation energy: -0.216 eV/atom
Magnetic moment: 0.000 μB per atom
N(E_F): 4.58 states/eV/f.u.

a b c (Å): 8.3806 7.1102 5.8300
angles (deg): 80.06 56.69 43.25
Positions (direct):
Sr (0.1399, 0.1399, 0.8601)
Sr (0.8601, 0.8601, 0.1399)
Ga (0.1622, 0.5298, 0.4702)
Ga (0.4702, 0.8378, 0.1622)
Ga (0.5298, 0.1622, 0.8378)
Ga (0.8378, 0.4702, 0.5298)
Cu (0.0000, 0.0000, 0.5000)
Cu (0.5000, 0.5000, 0.0000)
Cu (0.5000, 0.5000, 0.5000)